No. 1
{
  "formula": "DyMg2",
  "functional": "PBE",
  "state": "optimized geometry",
  "crystal_system": "cubic",
  "total_energy_ev_per_atom": -2.666,
  "formation_enthalpy_0k_ev_per_atom": -0.07,
  "lattice": [[-0.902, 5.501, 2.299], [-3.035, 0.646, 5.170], [2.903, 1.687, 5.009]],
  "species": ["Mg", "Mg", "Dy", "Mg", "Mg", "Dy"],
  "fractional_positions": [[0.500, 0.500, 0.500], [0.000, 0.500, 0.500], [0.625, 0.125, 0.125], [0.000, 0.500, 0.000], [0.000, 0.000, 0.500], [0.375, 0.875, 0.875]]
}

=====

No. 2
{
  "formula": "Al3ZnPd",
  "functional": "PBE",
  "state": "optimized geometry",
  "crystal_system": "cubic",
  "total_energy_ev_per_atom": -3.503,
  "formation_enthalpy_0k_ev_per_atom": 0.04,
  "lattice": [[-4.528, 0.912, 1.147], [0.968, -0.939, 4.564], [1.101, 4.576, 0.708]],
  "species": ["Pd", "Zn", "Al", "Al", "Al"],
  "fractional_positions": [[0.000, 0.000, 0.000], [0.500, 0.500, 0.500], [0.500, 0.000, 0.000], [0.000, 0.000, 0.500], [0.000, 0.500, 0.000]]
}

=====

No. 3
{
  "formula": "SiAs2Br",
  "functional": "PBE",
  "state": "optimized geometry",
  "raw_formation_energy_ev_per_atom": 0.111,
  "crystal_system": "monoclinic",
  "total_energy_ev_per_atom": -3.988,
  "lattice": [[-3.608, -1.443, 2.103], [-2.438, -3.641, -0.564], [2.243, -5.615, 5.613]],
  "species": ["Br", "As", "Si", "As"],
  "fractional_positions": [[0.568, 0.568, 0.412], [0.711, 0.711, 0.871], [0.214, 0.214, 0.189], [0.007, 0.007, 0.029]]
}

=====

No. 4
{
  "formula": "Na4Tb3YS8",
  "functional": "PBE",
  "state": "optimized geometry",
  "raw_formation_energy_ev_per_atom": -1.848,
  "crystal_system": "trigonal",
  "total_energy_ev_per_atom": -5.513,
  "lattice": [[-2.667, -6.496, -3.836], [5.011, -4.650, 4.392], [-5.162, 4.845, 3.728]],
  "species": ["S", "Na", "Tb", "S", "S", "S", "Na", "Na", "S", "Tb", "S", "S", "S", "Tb", "Na", "Y"],
  "fractional_positions": [[0.257, 0.273, 0.015], [0.500, 0.000, 0.500], [0.500, 0.500, 0.500], [0.758, 0.273, 0.015], [0.242, 0.727, 0.484], [0.743, 0.728, 0.485], [0.500, 0.000, 0.000], [0.000, 0.000, 0.000], [0.257, 0.272, 0.515], [0.500, 0.500, 0.000], [0.743, 0.727, 0.985], [0.242, 0.727, 0.985], [0.758, 0.273, 0.516], [0.000, 0.500, 0.500], [0.000, 0.000, 0.500], [0.000, 0.500, 0.000]]
}

=====

Number 1: DOS(E_F) 7.1 states/eV/cell. Number 2: DOS(E_F) 1.5 states/eV/cell. Number 3: DOS(E_F) 1.2 states/eV/cell. Number 4: DOS(E_F) 0.0 states/eV/cell.